K3VCr2Te6 after structural relaxation, computed with PBE.

Summary:
* SG: C2/m, No. 12
* ΔE_f (raw): -0.559 eV per atom
* crystal system: monoclinic

Unit cell a=7.187 b=7.187 c=8.380 alpha=98.25 beta=98.25 gamma=120.09
Fractional coordinates of all 12 atoms:
K  0.000  0.000  0.000
K  0.334  0.666  0.000
K  0.666  0.334  0.000
V  0.500  0.500  0.500
Cr  0.167  0.833  0.500
Cr  0.833  0.167  0.500
Te  0.105  0.440  0.319
Te  0.225  0.225  0.680
Te  0.440  0.105  0.319
Te  0.560  0.895  0.681
Te  0.775  0.775  0.320
Te  0.895  0.560  0.681